No. 1
Below is a relaxed LiPr2ErSe4 crystal, with properties calculated at the PBE level.

The calculation puts the formation energy from raw total energies at -40.29 kcal/mol of atoms. The density of states at the Fermi level comes out at 2.8 states/eV per cell.

a b c (Å): 7.1365 4.1346 7.2025
angles (deg): 90.00 109.25 90.00
Fractional coordinates of all 8 atoms:
Li: 0.0000 0.0000 0.0000
Pr: 0.0000 0.5000 0.5000
Pr: 0.5000 0.0000 0.5000
Er: 0.5000 0.5000 0.0000
Se: 0.2415 0.5000 0.2290
Se: 0.2532 0.0000 0.7718
Se: 0.7468 0.0000 0.2282
Se: 0.7585 0.5000 0.7710

No. 2
Below is a relaxed SmPuRu2 crystal, with properties calculated at the PBE level.

Its formation energy is -0.181 eV/atom. The density of states at the Fermi level comes out at 6.5 states/eV per cell.

a b c (Å): 3.3851 3.3851 7.0252
angles (deg): 90.00 90.00 90.00
Fractional coordinates of all 4 atoms:
Sm: 0.0000 0.0000 0.0000
Pu: 0.0000 0.0000 0.5000
Ru: 0.5000 0.5000 0.2785
Ru: 0.5000 0.5000 0.7215

No. 3
Below is a relaxed TaSCl2O crystal, with properties calculated at the PBE level.

The energy above the most stable polymorph in this dataset comes out at 1.107 eV per atom. The calculation puts the formation energy from raw total energies at 22.56 kcal/mol of atoms. The density of states at the Fermi level comes out at 6.0 states/eV per cell.

a b c (Å): 4.2176 4.2176 4.4770
angles (deg): 90.00 90.00 90.00
Fractional coordinates of all 5 atoms:
Ta: 0.0000 0.0000 0.0000
S: 0.5000 0.5000 0.0000
Cl: 0.0000 0.5000 0.5000
Cl: 0.5000 0.0000 0.5000
O: 0.5000 0.5000 0.5000

No. 4
Below is a relaxed Ca2Sn4Ir3Au crystal, with properties calculated at the PBE level.

Its formation energy is -0.414 eV/atom. The density of states at the Fermi level comes out at 7.0 states/eV per cell.

a b c (Å): 4.5185 4.5185 11.0835
angles (deg): 90.00 90.00 90.00
Fractional coordinates of all 10 atoms:
Ca: 0.0000 0.5000 0.2492
Ca: 0.5000 0.0000 0.7508
Sn: 0.0000 0.0000 0.0000
Sn: 0.0000 0.5000 0.6358
Sn: 0.5000 0.0000 0.3642
Sn: 0.5000 0.5000 0.0000
Ir: 0.0000 0.5000 0.8704
Ir: 0.5000 0.0000 0.1296
Ir: 0.5000 0.5000 0.5000
Au: 0.0000 0.0000 0.5000

No. 5
Below is a relaxed Sm6CdTc crystal, with properties calculated at the PBE level.

Its formation energy is 0.110 eV/atom. The density of states at the Fermi level comes out at 8.2 states/eV per cell.

a b c (Å): 6.7488 6.7488 6.5349
angles (deg): 100.75 100.75 110.70
Fractional coordinates of all 8 atoms:
Sm: 0.0051 0.6284 0.7494
Sm: 0.2357 0.2357 0.7733
Sm: 0.3716 0.9949 0.2506
Sm: 0.6284 0.0051 0.7494
Sm: 0.7643 0.7643 0.2267
Sm: 0.9949 0.3716 0.2506
Cd: 0.5000 0.5000 0.5000
Tc: 0.0000 0.0000 0.0000

no.,total magnetization (μB per formula unit)
1,0.00
2,3.99
3,0.00
4,0.00
5,0.00